Here is an optimized crystal structure of Al2Fe2Mo from Alexandria. Energies are from PBE-GGA.

a b c (Å): 6.739 6.739 2.881
angles (deg): 90.00 90.00 90.00
Fractional positions:
1 Al 0.349 0.151 0.500
2 Al 0.151 0.651 0.500
3 Fe 0.854 0.646 0.000
4 Fe 0.146 0.354 0.000
5 Fe 0.646 0.146 0.000
6 Fe 0.354 0.854 0.000
7 Al 0.849 0.349 0.500
8 Mo 0.500 0.500 0.000
9 Al 0.651 0.849 0.500
10 Mo 0.000 0.000 0.000

- space group = P4/mbm, No. 127
- offset from the most stable computed form (meV/atom) = 112
- formation energy (eV per atom) = 0.020
- magnetization (Bohr magnetons per cell) = 1.766